Entry 1:
Here is a relaxed SbS4 crystal from Alexandria. Energies are from PBE-GGA.

## Properties
Its density is 3.2 g/cm³. The raw total energy is -3.143 eV/atom. As for the space-group type: No. 221. The magnetization comes out at 0.680 μB/atom. As for the density of states at the Fermi level: 5.82 states/eV/f.u. The value obtained for the raw formation energy is 983 meV per atom.

a b c (Å): 5.0622 5.0622 5.0622
angles (deg): 90.00 90.00 90.00
With the nearest neighbours (Å) after each atom.
Sites, in units of the cell vectors:
Sb  0.0000  0.0000  0.0000  6 S 2.53
S  0.0000  0.0000  0.5000  2 Sb 2.53
S  0.0000  0.5000  0.0000  2 Sb 2.53
S  0.5000  0.0000  0.0000  2 Sb 2.53
S  0.5000  0.5000  0.5000  12 S 3.58



Entry 2:
Here is a relaxed La2GaNi4P3 crystal from Alexandria. Energies are from PBE-GGA.

## Properties
The formation energy is -0.92 eV/atom. Its density is 7.1 g/cm³. The raw total energy is -6.147 eV/atom. As for the space-group type: No. 115. The magnetization comes out at 0.000 μB/atom. As for the density of states at the Fermi level: 5.84 states/eV/f.u.

a b c (Å): 4.0655 4.0655 9.5987
angles (deg): 90.00 90.00 90.00
With the nearest neighbours (Å) after each atom.
Sites, in units of the cell vectors:
La  0.0000  0.5000  0.2431  6 P 3.08-3.20, 8 Ni 3.09-3.12, 2 Ga 3.20
La  0.5000  0.0000  0.7569  6 P 3.08-3.20, 8 Ni 3.09-3.12, 2 Ga 3.20
Ga  0.0000  0.0000  0.5000  4 Ni 2.38
Ni  0.0000  0.0000  0.0000  4 P 2.37
Ni  0.0000  0.5000  0.6297  3 P 2.34-2.38, 2 Ga 2.38
Ni  0.5000  0.0000  0.3703  3 P 2.34-2.38, 2 Ga 2.38
Ni  0.5000  0.5000  0.0000  4 P 2.37
P  0.0000  0.5000  0.8730  5 Ni 2.34-2.37
P  0.5000  0.0000  0.1270  5 Ni 2.34-2.37
P  0.5000  0.5000  0.5000  4 Ni 2.38



Entry 3:
Here is a relaxed CeThMgCd crystal from Alexandria. Energies are from PBE-GGA.

## Properties
The formation energy is 0.03 eV/atom. Its density is 7.5 g/cm³. The raw total energy is -3.939 eV/atom. As for the space-group type: No. 216. The magnetization comes out at 0.256 μB/atom. As for the density of states at the Fermi level: 10.52 states/eV/f.u.

a b c (Å): 5.4186 5.4186 5.4186
angles (deg): 60.00 60.00 60.00
With the nearest neighbours (Å) after each atom.
Sites, in units of the cell vectors:
Ce  0.0000  0.0000  0.0000  4 Cd 3.32, 4 Mg 3.32
Th  0.5000  0.5000  0.5000  4 Cd 3.32, 4 Mg 3.32
Mg  0.2500  0.2500  0.2500  4 Th 3.32, 4 Ce 3.32
Cd  0.7500  0.7500  0.7500  4 Th 3.32, 4 Ce 3.32



Entry 4:
Here is a relaxed SmHoRu2 crystal from Alexandria. Energies are from PBE-GGA.

## Properties
The formation energy is -0.25 eV/atom. Its density is 10.7 g/cm³. The raw total energy is -7.214 eV/atom. As for the space-group type: No. 123. The magnetization comes out at 0.000 μB/atom. As for the density of states at the Fermi level: 5.10 states/eV/f.u.

a b c (Å): 3.4251 3.4251 6.8590
angles (deg): 90.00 90.00 90.00
With the nearest neighbours (Å) after each atom.
Sites, in units of the cell vectors:
Sm  0.0000  0.0000  0.0000  8 Ru 2.99
Ho  0.0000  0.0000  0.5000  8 Ru 2.95
Ru  0.5000  0.5000  0.2556  4 Ho 2.95, 4 Sm 2.99
Ru  0.5000  0.5000  0.7444  4 Ho 2.95, 4 Sm 2.99



Entry 5:
Here is a relaxed MgNiTe crystal from Alexandria. Energies are from PBE-GGA.

## Properties
Its density is 5.2 g/cm³. The raw total energy is -3.859 eV/atom. As for the space-group type: No. 8. The magnetization comes out at 0.000 μB/atom. As for the density of states at the Fermi level: 2.12 states/eV/f.u. The value obtained for the raw formation energy is -353 meV per atom.

a b c (Å): 4.3281 4.3281 8.7259
angles (deg): 104.62 104.62 60.00
With the nearest neighbours (Å) after each atom.
Sites, in units of the cell vectors:
Mg  0.0000  0.0000  0.0000  4 Ni 2.75-2.79, 3 Te 2.81
Mg  0.7447  0.7447  0.2297  6 Ni 2.59-2.63
Ni  0.1118  0.1118  0.3291  4 Mg 2.63-2.75, 3 Te 2.67-2.68, 3 Ni 2.92
Ni  0.3835  0.3835  0.1476  2 Te 2.47-2.51, 3 Mg 2.59
Te  0.2813  0.2813  0.8466  1 Ni 2.51, 3 Mg 2.81
Te  0.4839  0.4839  0.4435  4 Ni 2.47-2.68



Entry 6:
Here is a relaxed ScMnNi2 crystal from Alexandria. Energies are from PBE-GGA.

## Properties
The formation energy is -0.12 eV/atom. Its density is 6.7 g/cm³. The raw total energy is -6.883 eV/atom. As for the space-group type: No. 216. The magnetization comes out at 0.826 μB/atom. As for the density of states at the Fermi level: 4.60 states/eV/f.u.

a b c (Å): 4.2456 4.2456 4.2456
angles (deg): 60.00 60.00 60.00
With the nearest neighbours (Å) after each atom.
Sites, in units of the cell vectors:
Sc  0.0000  0.0000  0.0000  4 Mn 2.60, 4 Ni 2.60
Mn  0.7500  0.7500  0.7500  4 Ni 2.60, 4 Sc 2.60
Ni  0.2500  0.2500  0.2500  4 Ni 2.60, 4 Sc 2.60
Ni  0.5000  0.5000  0.5000  4 Mn 2.60, 4 Ni 2.60